No. 1
! Li5In3Br12 PBE relaxed; values from VASP
&SYSTEM
  ibrav = 0, nat = 80, ntyp = 3
/
ATOMIC_SPECIES
Li 6.94 Li.upf
In 114.82 In.upf
Br 79.90 Br.upf
CELL_PARAMETERS angstrom
-8.1777 8.1777 8.1777
8.1777 -8.1777 8.1777
8.1777 8.1777 -8.1777
ATOMIC_POSITIONS angstrom
Li 0.0000 0.0000 0.0000
Li 4.0889 4.0889 -4.0889
Li 4.0889 -4.0889 4.0889
Li 8.1777 0.0000 0.0000
Li 12.2666 2.0444 0.0000
Li 8.1777 -4.0889 6.1333
Li 6.1333 8.1777 -4.0889
Li 6.1333 0.0000 4.0889
Li 4.0889 6.1333 0.0000
Li 8.1777 4.0889 2.0444
Li -4.0889 4.0889 4.0889
Li 0.0000 8.1777 0.0000
Li 0.0000 0.0000 8.1777
Li 4.0889 4.0889 4.0889
Li 0.0000 4.0889 6.1333
Li 4.0889 2.0444 8.1777
Li 2.0444 8.1777 4.0889
Li 2.0444 0.0000 12.2666
Li 0.0000 12.2666 2.0444
Li -4.0889 6.1333 8.1777
In 4.0889 2.0444 0.0000
In 8.1777 4.0889 -2.0444
In 2.0444 0.0000 4.0889
In 10.2222 0.0000 4.0889
In 0.0000 4.0889 2.0444
In 4.0889 -2.0444 8.1777
In 4.0889 10.2222 0.0000
In 8.1777 4.0889 6.1333
In -2.0444 8.1777 4.0889
In 6.1333 8.1777 4.0889
In 0.0000 4.0889 10.2222
In 4.0889 6.1333 8.1777
Br 2.5205 -0.3877 1.0009
Br 9.7461 5.0898 -4.4766
Br 10.6982 0.3877 1.0009
Br 9.7461 -3.0879 4.4766
Br 7.7900 -1.0009 2.5205
Br 12.6543 -1.5684 3.0879
Br 1.0009 2.5205 -0.3877
Br 11.2657 3.7012 -1.5684
Br 5.0898 4.4766 -1.5684
Br 7.1768 2.5205 0.3877
Br -0.3877 1.0009 2.5205
Br 4.4766 -1.5684 5.0898
Br 7.7900 7.1768 -2.5205
Br 4.4766 1.5684 3.0879
Br 5.0898 -4.4766 9.7461
Br 7.1768 -2.5205 7.7900
Br 3.0879 4.4766 1.5684
Br 9.1787 5.6573 0.3877
Br 4.4766 9.7461 -3.0879
Br 7.7900 1.0009 5.6573
Br 2.5205 7.7900 -1.0009
Br 9.7461 3.0879 3.7012
Br 1.5684 3.0879 4.4766
Br 2.5205 0.3877 7.1768
Br 5.6573 7.7900 1.0009
Br 6.6093 5.0898 3.7012
Br -1.5684 5.0898 4.4766
Br 5.6573 0.3877 9.1787
Br 0.3877 7.1768 2.5205
Br 3.7012 -1.5684 11.2657
Br -1.0009 2.5205 7.7900
Br 5.0898 3.7012 6.6093
Br 1.0009 10.6982 0.3877
Br 3.0879 12.6543 -1.5684
Br 3.7012 6.6093 5.0898
Br 0.3877 1.0009 10.6982
Br 3.7012 9.7461 3.0879
Br 8.5654 7.1768 5.6573
Br 1.0009 5.6573 7.7900
Br 3.0879 3.7012 9.7461
Br -3.0879 4.4766 9.7461
Br 7.1768 5.6573 8.5654
Br -4.4766 9.7461 5.0898
Br 0.3877 9.1787 5.6573
Br -1.5684 11.2657 3.7012
Br -2.5205 7.7900 7.1768
Br -1.5684 3.0879 12.6543
Br 5.6573 8.5654 7.1768
! * total magnetic moment: 0.0000 μB/atom
! * symmetry: Ia-3d, No. 230

---

No. 2
! LiIn4Br5 PBE relaxed; values from VASP
&SYSTEM
  ibrav = 0, nat = 10, ntyp = 3
/
ATOMIC_SPECIES
Li 6.94 Li.upf
In 114.82 In.upf
Br 79.90 Br.upf
CELL_PARAMETERS angstrom
-5.0815 5.0815 3.2632
5.0815 -5.0815 3.2632
5.0815 5.0815 -3.2632
ATOMIC_POSITIONS angstrom
Li 0.0000 0.0000 0.0000
In 6.0542 1.9729 -0.4137
In 1.9729 4.1089 -0.4137
In 3.1086 0.9726 2.8495
In -0.9726 3.1086 2.8495
Br 2.5471 1.0633 -0.4143
Br 4.0182 -2.5344 2.8490
Br 0.0000 0.0000 2.6438
Br 1.0633 7.6159 -0.4143
Br 2.5344 4.0182 2.8490
! * total magnetic moment: 0.0000 μB/atom
! * symmetry: I4, No. 79

---

No. 3
! LiIn2Br PBE relaxed; values from VASP
&SYSTEM
  ibrav = 0, nat = 4, ntyp = 3
/
ATOMIC_SPECIES
Li 6.94 Li.upf
In 114.82 In.upf
Br 79.90 Br.upf
CELL_PARAMETERS angstrom
3.8798 0.0000 0.0000
0.0000 4.9131 0.0000
0.0000 0.0000 5.8449
ATOMIC_POSITIONS angstrom
Li 0.0000 0.0000 0.0000
In 1.9399 2.4566 1.4551
In 1.9399 2.4566 4.3898
Br 0.0000 0.0000 2.9225
! * total magnetic moment: 0.0000 μB/atom
! * symmetry: Pmmm, No. 47
! * relative energy among the computed polymorphs: 292 meV/atom

---

No. 4
! LiIn2Br PBE relaxed; values from VASP
&SYSTEM
  ibrav = 0, nat = 4, ntyp = 3
/
ATOMIC_SPECIES
Li 6.94 Li.upf
In 114.82 In.upf
Br 79.90 Br.upf
CELL_PARAMETERS angstrom
5.9012 -1.7200 0.0000
5.9012 1.7200 0.0000
-2.8398 0.0000 5.2765
ATOMIC_POSITIONS angstrom
Li 0.0000 0.0000 0.0000
In 4.6264 0.0000 2.7544
In 7.7571 0.0000 1.9754
Br 1.3170 0.0000 4.9108
! * total magnetic moment: 0.0000 μB/atom
! * symmetry: Cm, No. 8
! * relative energy among the computed polymorphs: 133 meV/atom

---

No. 5
! LiIn3Br4 PBE relaxed; values from VASP
&SYSTEM
  ibrav = 0, nat = 16, ntyp = 3
/
ATOMIC_SPECIES
Li 6.94 Li.upf
In 114.82 In.upf
Br 79.90 Br.upf
CELL_PARAMETERS angstrom
9.0826 0.0000 0.0000
0.0000 9.8872 0.0000
0.0000 0.0000 6.4973
ATOMIC_POSITIONS angstrom
Li 0.0000 2.1191 0.0000
Li 4.5413 7.7681 3.2486
In 0.0000 8.9958 2.8438
In 1.7410 6.4531 6.0371
In 2.8003 3.4341 2.7885
In 4.5413 0.8913 6.0924
In 6.2823 3.4341 2.7885
In 7.3416 6.4531 6.0371
Br 0.0000 2.3799 2.6119
Br 0.0000 9.4820 6.1580
Br 2.2602 3.2805 5.9704
Br 2.2811 6.6067 2.7218
Br 4.5413 0.4051 2.9093
Br 4.5413 7.5073 5.8605
Br 6.8015 6.6067 2.7218
Br 6.8224 3.2805 5.9704
! * total magnetic moment: 0.0000 μB/atom
! * symmetry: Pmn2_1, No. 31
! * relative energy among the computed polymorphs: 5 meV/atom

---

No. 6
! LiIn2Br PBE relaxed; values from VASP
&SYSTEM
  ibrav = 0, nat = 4, ntyp = 3
/
ATOMIC_SPECIES
Li 6.94 Li.upf
In 114.82 In.upf
Br 79.90 Br.upf
CELL_PARAMETERS angstrom
-2.1015 2.1015 6.3352
2.1015 -2.1015 6.3352
2.1015 2.1015 -6.3352
ATOMIC_POSITIONS angstrom
Li 0.0000 0.0000 0.0000
In 2.1015 0.0000 3.1676
In 0.0000 2.1015 3.1676
Br 0.0000 0.0000 6.3352
! * total magnetic moment: 0.0000 μB/atom
! * symmetry: I4/mmm, No. 139
! * relative energy among the computed polymorphs: 120 meV/atom

---

No. 7
! LiIn5Br6 PBE relaxed; values from VASP
&SYSTEM
  ibrav = 0, nat = 12, ntyp = 3
/
ATOMIC_SPECIES
Li 6.94 Li.upf
In 114.82 In.upf
Br 79.90 Br.upf
CELL_PARAMETERS angstrom
4.0516 -6.7588 0.0000
4.0516 6.7588 0.0000
-2.5881 0.0000 7.5226
ATOMIC_POSITIONS angstrom
Li 0.0000 0.0000 0.0000
In 2.7576 4.4640 3.7613
In 4.0516 2.2644 0.0000
In 2.7576 0.0000 3.7613
In 4.0516 -2.2644 0.0000
In 2.7576 -4.4640 3.7613
Br 1.1675 1.9604 1.6087
Br -0.1183 0.0000 5.5435
Br 1.1675 -1.9604 1.6087
Br 4.3476 1.9604 5.9139
Br 5.6334 0.0000 1.9791
Br 4.3476 -1.9604 5.9139
! * total magnetic moment: 0.0000 μB/atom
! * symmetry: C2/m, No. 12

---

No. 8
! Li2In2Br7 PBE relaxed; values from VASP
&SYSTEM
  ibrav = 0, nat = 22, ntyp = 3
/
ATOMIC_SPECIES
Li 6.94 Li.upf
In 114.82 In.upf
Br 79.90 Br.upf
CELL_PARAMETERS angstrom
5.4704 -5.4406 0.0000
5.4704 5.4406 0.0000
-4.3621 0.0000 12.9485
ATOMIC_POSITIONS angstrom
Li -0.2984 0.9887 6.0787
Li -2.4795 -0.9887 12.5530
Li 9.0581 0.9887 0.3955
Li 6.8770 -0.9887 6.8698
In -0.6796 2.5055 10.3122
In 1.5015 -2.5055 3.8379
In 5.0771 2.5055 9.1106
In 7.2582 -2.5055 2.6363
Br 0.6895 1.0312 1.1243
Br 0.8600 2.1190 8.1862
Br -1.4916 -1.0312 7.5986
Br 4.3799 2.4377 3.2371
Br -0.4212 0.2679 11.6210
Br 1.7599 -0.2679 5.1468
Br 3.5376 2.1190 11.2365
Br 3.0410 -2.1190 1.7120
Br 4.8188 0.2679 7.8017
Br 6.9998 -0.2679 1.3275
Br 2.1988 -2.4377 9.7114
Br 8.0702 1.0312 5.3499
Br 5.7187 -2.1190 4.7623
Br 5.8892 -1.0312 11.8242
! * total magnetic moment: 0.0000 μB/atom
! * symmetry: C2/c, No. 15
! * relative energy among the computed polymorphs: 0 meV/atom

---

Number 1: uncorrected formation energy -980 meV per atom. Number 2: uncorrected formation energy -806 meV per atom. Number 3: uncorrected formation energy -233 meV per atom. Number 4: uncorrected formation energy -391 meV per atom. Number 5: uncorrected formation energy -843 meV per atom. Number 6: uncorrected formation energy -405 meV per atom. Number 7: uncorrected formation energy -772 meV per atom. Number 8: uncorrected formation energy -982 meV per atom.